A PBEsol-optimized structure of Tc3Rh, computed with SCAN.

Properties
Its symmetry is P-6m2. The value obtained for the energy above the most stable polymorph in this dataset is 33 meV per atom. For the formation energy, the calculation gives -0.36 eV per formula unit.

a = 2.7123 Å, b = 2.7123 Å, c = 8.6551 Å
α = 90.00°, β = 90.00°, γ = 120.00°
Last column: nearest neighbours and their distance in Å.
Sites, in units of the cell vectors:
Rh1 0.0000 0.0000 0.0000  6 Tc 2.67, 6 Rh 2.71
Tc1 0.0000 0.0000 0.5000  12 Tc 2.67-2.71
Tc2 0.6667 0.3333 0.2496  3 Rh 2.67, 9 Tc 2.67-2.71
Tc3 0.6667 0.3333 0.7504  3 Rh 2.67, 9 Tc 2.67-2.71



A PBEsol-optimized structure of TcRh3, computed with SCAN.

Properties
Its symmetry is Pm-3m. For the formation energy, the calculation gives -0.15 eV per formula unit.

a = 3.7798 Å, b = 3.7798 Å, c = 3.7798 Å
α = 90.00°, β = 90.00°, γ = 90.00°
Last column: nearest neighbours and their distance in Å.
Sites, in units of the cell vectors:
Rh1 0.0000 0.5000 0.0000  8 Rh 2.67, 4 Tc 2.67
Rh2 0.5000 0.0000 0.0000  4 Tc 2.67, 8 Rh 2.67
Rh3 0.0000 0.0000 0.5000  8 Rh 2.67, 4 Tc 2.67
Tc1 0.5000 0.5000 0.5000  12 Rh 2.67



A PBEsol-optimized structure of TcRh3, computed with SCAN.

Properties
Its symmetry is Cmmm. For the formation energy, the calculation gives -0.19 eV per formula unit.

a = 2.6665 Å, b = 4.6403 Å, c = 4.6403 Å
α = 109.82°, β = 90.00°, γ = 90.00°
Last column: nearest neighbours and their distance in Å.
Sites, in units of the cell vectors:
Rh1 0.0000 0.0000 0.0000  10 Rh 2.67-2.68, 2 Tc 2.67
Rh2 0.5000 0.5000 0.0000  8 Rh 2.67-2.68, 4 Tc 2.68
Rh3 0.5000 0.0000 0.5000  8 Rh 2.67-2.68, 4 Tc 2.68
Tc1 0.0000 0.5000 0.5000  2 Tc 2.67, 10 Rh 2.67-2.68



A PBEsol-optimized structure of TcRh3, computed with SCAN.

Properties
Its symmetry is R-3m. For the formation energy, the calculation gives -0.23 eV per formula unit.

a = 2.6700 Å, b = 2.6700 Å, c = 8.9037 Å
α = 81.38°, β = 81.38°, γ = 60.00°
Last column: nearest neighbours and their distance in Å.
Sites, in units of the cell vectors:
Rh1 0.7487 0.7487 0.7538  3 Tc 2.65, 9 Rh 2.67-2.71
Rh2 0.2513 0.2513 0.2462  3 Tc 2.65, 9 Rh 2.67-2.71
Rh3 0.5000 0.5000 0.5000  12 Rh 2.67-2.71
Tc1 0.0000 0.0000 0.0000  6 Rh 2.65, 6 Tc 2.67